The following is a DFT calculation (PBE) of a relaxed structure of YMoBr2.

Results
**Polymorph energy (0 for the lowest one)**: 44.4 kJ per mole of atoms
**M_tot**: 11.60 μB per cell

Lattice parameters (Å, degrees): 4.7570 4.7570 17.9844 90.00 90.00 90.00
Closest atoms and distances in Å follow each position.
Space group I-42d (No. 122)
Symmetry-distinct sites (fractional):
1 Y 0.0000 0.0000 0.0000 (multiplicity 4)  4 Br 2.84
2 Mo 0.0000 0.0000 0.5000 (multiplicity 4)  4 Br 2.77
3 Br 0.2322 0.2500 0.6250 (multiplicity 8)  2 Mo 2.77, 2 Y 2.84

The following is a DFT calculation (PBE) of a relaxed structure of YMo2Br.

Results
**Polymorph energy (0 for the lowest one)**: 25.3 kJ per mole of atoms
**M_tot**: 0.00 μB per cell

Lattice parameters (Å, degrees): 7.3452 3.9432 7.8175 90.00 114.94 90.00
Closest atoms and distances in Å follow each position.
Space group Cm (No. 8)
Symmetry-distinct sites (fractional):
1 Y 0.0000 0.0000 0.0000 (multiplicity 2)  5 Mo 3.05-3.31, 3 Br 3.05-3.06
2 Mo 0.0064 0.5000 0.6626 (multiplicity 2)  3 Mo 2.38-2.44
3 Mo 0.2058 0.0000 0.7223 (multiplicity 2)  3 Mo 2.38-2.44
4 Br 0.2999 0.5000 0.2728 (multiplicity 2)  3 Y 3.05-3.06, 2 Mo 3.40

The following is a DFT calculation (PBE) of a relaxed structure of ZnMoBr4.

Results
**M_tot**: 13.41 μB per cell
**Energy**: -2.070 eV per atom

Lattice parameters (Å, degrees): 8.8589 8.8589 8.8589 90.00 90.00 90.00
Closest atoms and distances in Å follow each position.
Space group F-43m (No. 216)
Symmetry-distinct sites (fractional):
1 Zn 0.0000 0.0000 0.0000 (multiplicity 4)  12 Br 3.67, 4 Mo 3.84
2 Mo 0.2500 0.2500 0.2500 (multiplicity 4)  12 Br 3.67, 4 Zn 3.84
3 Br 0.1251 0.1251 0.6251 (multiplicity 16)  6 Br 3.13

The following is a DFT calculation (PBE) of a relaxed structure of ZnMo2Br.

Results
**Polymorph energy (0 for the lowest one)**: 45.0 kJ per mole of atoms
**M_tot**: 0.00 μB per cell

Lattice parameters (Å, degrees): 9.2372 2.9793 4.9115 90.00 101.21 90.00
Closest atoms and distances in Å follow each position.
Space group C2/m (No. 12)
Symmetry-distinct sites (fractional):
1 Zn 0.0000 0.0000 0.0000 (multiplicity 2)  6 Mo 2.79-2.82, 4 Br 2.87, 2 Zn 2.98
2 Mo 0.2494 0.0000 0.7569 (multiplicity 4)  3 Zn 2.79-2.82, 6 Mo 2.81-2.98, 3 Br 2.83-2.84
3 Br 0.0000 0.5000 0.5000 (multiplicity 2)  6 Mo 2.83-2.84, 4 Zn 2.87, 2 Br 2.98

The following is a DFT calculation (PBE) of a relaxed structure of ZnMoBr3.

Results
**Polymorph energy (0 for the lowest one)**: 29.7 kJ per mole of atoms
**M_tot**: 4.93 μB per cell

Lattice parameters (Å, degrees): 5.1712 5.1712 5.1712 90.00 90.00 90.00
Closest atoms and distances in Å follow each position.
Space group Pm-3m (No. 221)
Symmetry-distinct sites (fractional):
1 Zn 0.0000 0.0000 0.0000 (multiplicity 1)  6 Br 2.59
2 Mo 0.5000 0.5000 0.5000 (multiplicity 1)  12 Br 3.66
3 Br 0.0000 0.0000 0.5000 (multiplicity 3)  2 Zn 2.59

The following is a DFT calculation (PBE) of a relaxed structure of ZnMo2Br.

Results
**Polymorph energy (0 for the lowest one)**: 18.2 kJ per mole of atoms
**M_tot**: 0.00 μB per cell

Lattice parameters (Å, degrees): 3.2550 5.0355 8.8994 90.00 90.00 90.00
Closest atoms and distances in Å follow each position.
Space group Cmm2 (No. 35)
Symmetry-distinct sites (fractional):
1 Zn 0.0000 0.0000 0.0000 (multiplicity 2)  2 Mo 2.69, 4 Zn 3.00, 2 Br 3.01
2 Mo 0.0000 0.0000 0.4566 (multiplicity 2)  2 Mo 2.52, 2 Br 2.82
3 Mo 0.0000 0.5000 0.2408 (multiplicity 2)  2 Mo 2.52, 2 Zn 2.69
4 Br 0.0000 0.5000 0.7151 (multiplicity 2)  2 Mo 2.82, 4 Br 3.00, 2 Zn 3.01

The following is a DFT calculation (PBE) of a relaxed structure of ZnMo2Br.

Results
**Polymorph energy (0 for the lowest one)**: 73.3 kJ per mole of atoms
**M_tot**: 0.00 μB per cell

Lattice parameters (Å, degrees): 3.8564 3.8564 9.1646 90.00 90.00 90.00
Closest atoms and distances in Å follow each position.
Space group I4/mmm (No. 139)
Symmetry-distinct sites (fractional):
1 Zn 0.0000 0.0000 0.0000 (multiplicity 2)  4 Br 2.73, 8 Mo 2.99
2 Mo 0.0000 0.5000 0.2500 (multiplicity 4)  4 Mo 2.73, 4 Br 2.99, 4 Zn 2.99
3 Br 0.0000 0.0000 0.5000 (multiplicity 2)  4 Zn 2.73, 8 Mo 2.99

The following is a DFT calculation (PBE) of a relaxed structure of ZnMo2Br.

Results
**Polymorph energy (0 for the lowest one)**: 42.4 kJ per mole of atoms
**M_tot**: 0.00 μB per cell

Lattice parameters (Å, degrees): 9.6568 3.1581 4.9556 90.00 109.84 90.00
Closest atoms and distances in Å follow each position.
Space group Cm (No. 8)
Symmetry-distinct sites (fractional):
1 Zn 0.0000 0.0000 0.0000 (multiplicity 2)  5 Mo 2.72-2.85
2 Mo 0.2503 0.5000 0.1387 (multiplicity 2)  2 Mo 2.48, 3 Zn 2.72-2.77, 2 Br 2.75
3 Mo 0.4413 0.0000 0.4277 (multiplicity 2)  2 Mo 2.48, 1 Br 2.76
4 Br 0.2228 0.0000 0.6693 (multiplicity 2)  5 Mo 2.75-3.02, 2 Zn 3.06

The following is a DFT calculation (PBE) of a relaxed structure of ZnMoBr3.

Results
**Polymorph energy (0 for the lowest one)**: 0.0 kJ per mole of atoms
**M_tot**: 3.00 μB per cell

Lattice parameters (Å, degrees): 5.2871 5.2871 5.2871 90.00 90.00 90.00
Closest atoms and distances in Å follow each position.
Space group Pm-3m (No. 221)
Symmetry-distinct sites (fractional):
1 Zn 0.0000 0.0000 0.0000 (multiplicity 1)  12 Br 3.74
2 Mo 0.5000 0.5000 0.5000 (multiplicity 1)  6 Br 2.64
3 Br 0.0000 0.5000 0.5000 (multiplicity 3)  2 Mo 2.64

The following is a DFT calculation (PBE) of a relaxed structure of ZnMo2Br.

Results
**Polymorph energy (0 for the lowest one)**: 59.7 kJ per mole of atoms
**M_tot**: 0.00 μB per cell

Lattice parameters (Å, degrees): 4.5546 4.5546 6.4316 90.00 90.00 90.00
Closest atoms and distances in Å follow each position.
Space group I-4m2 (No. 119)
Symmetry-distinct sites (fractional):
1 Zn 0.0000 0.0000 0.0000 (multiplicity 2)  4 Mo 2.79, 4 Br 2.79
2 Mo 0.0000 0.0000 0.5000 (multiplicity 2)  4 Mo 2.79, 4 Br 2.79
3 Mo 0.0000 0.5000 0.2500 (multiplicity 2)  4 Mo 2.79, 4 Zn 2.79
4 Br 0.0000 0.5000 0.7500 (multiplicity 2)  4 Mo 2.79, 4 Zn 2.79

The following is a DFT calculation (PBE) of a relaxed structure of ZnMo2Br.

Results
**Polymorph energy (0 for the lowest one)**: 39.4 kJ per mole of atoms
**M_tot**: 0.00 μB per cell

Lattice parameters (Å, degrees): 3.3070 3.3070 6.5914 90.00 90.00 90.00
Closest atoms and distances in Å follow each position.
Space group P4/mmm (No. 123)
Symmetry-distinct sites (fractional):
1 Zn 0.0000 0.0000 0.0000 (multiplicity 1)  8 Mo 2.63
2 Mo 0.5000 0.5000 0.1823 (multiplicity 2)  1 Mo 2.40, 4 Zn 2.63
3 Br 0.0000 0.0000 0.5000 (multiplicity 1)  8 Mo 3.14, 2 Zn 3.30, 4 Br 3.31

The following is a DFT calculation (PBE) of a relaxed structure of ZnMo2Br.

Results
**Polymorph energy (0 for the lowest one)**: 55.1 kJ per mole of atoms
**M_tot**: 0.00 μB per cell

Lattice parameters (Å, degrees): 3.2571 4.6854 8.8226 90.00 90.00 90.00
Closest atoms and distances in Å follow each position.
Space group Cmmm (No. 65)
Symmetry-distinct sites (fractional):
1 Zn 0.0000 0.0000 0.0000 (multiplicity 2)  4 Mo 2.69, 4 Zn 2.85
2 Mo 0.0000 0.5000 0.2434 (multiplicity 4)  2 Zn 2.69, 2 Br 2.79, 4 Mo 2.85
3 Br 0.0000 0.0000 0.5000 (multiplicity 2)  4 Mo 2.79, 4 Br 2.85